Record 1
TlIrO3 | OQMD via LeMat-Bulk | PBE | optimized geometry; raw total energy = -5.749 eV per atom
1.0
2.825 -1.631 -4.370
-2.825 -1.631 -4.370
0.000 3.262 -4.370
Ir O Tl
2 6 2
Cartesian
0.000 0.000 0.000 Ir
0.000 0.000 -6.555 Ir
1.153 -1.265 -5.462 O
-0.519 -1.631 -7.647 O
-1.672 -0.366 -5.462 O
1.672 0.366 -7.647 O
0.519 1.631 -5.462 O
-1.153 1.265 -7.647 O
0.000 0.000 -3.277 Tl
0.000 0.000 -9.832 Tl


Record 2
TlIrO3 | OQMD via LeMat-Bulk | PBE | optimized geometry; raw total energy = -5.682 eV per atom
1.0
4.009 0.000 0.000
0.000 4.009 0.000
0.000 0.000 3.895
Ir O Tl
1 3 1
Cartesian
2.005 2.005 2.955 Ir
2.004 2.004 1.036 O
2.005 0.000 3.177 O
0.000 2.005 3.177 O
0.000 0.000 0.950 Tl


Record 3
TlIrO3 | OQMD via LeMat-Bulk | PBE | optimized geometry; raw total energy = -5.746 eV per atom
1.0
-2.771 2.771 3.980
2.771 -2.771 3.980
2.771 2.771 -3.980
Ir O Tl
2 6 2
Cartesian
0.000 0.000 0.000 Ir
0.000 0.000 3.980 Ir
0.000 0.000 1.990 O
0.000 0.000 5.970 O
-0.995 1.776 3.980 O
0.995 1.776 0.000 O
1.776 0.995 3.980 O
3.766 0.995 0.000 O
0.000 2.771 1.990 Tl
2.771 0.000 1.990 Tl


Record 4
Tm2Ir2O5 | OQMD via LeMat-Bulk | PBE | optimized geometry; polymorph energy (0 for the lowest one) = 176.9 meV per atom
1.0
9.069 0.000 0.000
0.000 3.582 0.000
0.000 0.000 3.582
Ir O Tm
2 5 2
Cartesian
0.000 0.000 0.000 Ir
4.534 0.000 0.000 Ir
1.177 1.791 0.000 O
7.892 1.791 0.000 O
1.177 0.000 1.791 O
7.892 0.000 1.791 O
4.534 1.791 1.791 O
2.406 1.791 1.791 Tm
6.663 1.791 1.791 Tm


Record 5
Tm2Ir2O5 | OQMD via LeMat-Bulk | PBE | optimized geometry; polymorph energy (0 for the lowest one) = 0.0 meV per atom
1.0
6.971 0.000 0.000
0.000 3.893 0.000
0.000 0.000 3.893
Ir O Tm
2 5 2
Cartesian
1.331 1.947 1.947 Ir
5.641 1.947 1.947 Ir
1.757 1.947 0.000 O
5.214 1.947 0.000 O
1.757 0.000 1.947 O
5.214 0.000 1.947 O
3.486 1.947 1.947 O
0.000 0.000 0.000 Tm
3.486 0.000 0.000 Tm


Record 6
Y2Ir2O5 | OQMD via LeMat-Bulk | PBE | optimized geometry; polymorph energy (0 for the lowest one) = 295.6 meV per atom
1.0
-2.617 -8.592 2.246
3.284 -0.655 1.321
-1.067 1.170 3.233
Ir O Y
2 5 2
Cartesian
0.000 0.000 0.000 Ir
-1.308 -4.296 1.123 Ir
1.311 -1.414 0.945 O
-0.644 -7.832 2.623 O
-0.865 -0.502 1.900 O
-2.820 -6.920 3.578 O
-0.200 -4.038 3.400 O
0.413 -2.025 2.874 Y
-0.813 -6.051 3.926 Y


Record 7
YIrO3 | OQMD via LeMat-Bulk | PBE | optimized geometry; raw total energy = -7.419 eV per atom
1.0
-2.429 1.367 2.788
-1.875 -3.468 0.067
2.480 -1.287 2.791
Ir O Y
1 3 1
Cartesian
0.000 0.000 0.000 Ir
-1.215 0.684 1.394 O
-0.937 -1.734 0.034 O
1.240 -0.643 1.396 O
-0.912 -1.694 2.823 Y


Record 8
Y2Ir2O5 | OQMD via LeMat-Bulk | PBE | optimized geometry; polymorph energy (0 for the lowest one) = 0.0 meV per atom
1.0
7.022 0.000 0.000
0.000 3.916 0.000
0.000 0.000 3.916
Ir O Y
2 5 2
Cartesian
1.341 1.958 1.958 Ir
5.681 1.958 1.958 Ir
1.757 1.958 0.000 O
5.265 1.958 0.000 O
1.757 0.000 1.958 O
5.265 0.000 1.958 O
3.511 1.958 1.958 O
0.000 0.000 0.000 Y
3.511 0.000 0.000 Y


Record 9
YIrO4 | OQMD via LeMat-Bulk | PBE | optimized geometry; raw total energy = -7.620 eV per atom
1.0
3.400 -5.422 0.000
3.400 5.422 0.000
-3.198 0.000 3.935
Ir O Y
2 8 2
Cartesian
2.601 -0.925 0.984 Ir
1.002 0.925 2.951 Ir
3.919 -2.263 0.597 O
4.243 0.383 0.902 O
0.958 0.383 1.065 O
1.283 -2.263 1.370 O
2.319 2.263 2.564 O
2.644 -0.383 2.870 O
-0.641 -0.383 3.032 O
-0.316 2.263 3.338 O
2.601 3.914 0.984 Y
1.002 -3.914 2.951 Y


Record 10
Zr2Ir2O5 | OQMD via LeMat-Bulk | PBE | optimized geometry; polymorph energy (0 for the lowest one) = 261.8 meV per atom
1.0
6.981 0.000 0.000
0.000 3.833 0.000
0.000 0.000 3.833
Ir O Zr
2 5 2
Cartesian
1.345 1.917 1.917 Ir
5.635 1.917 1.917 Ir
1.923 1.917 0.000 O
5.057 1.917 0.000 O
1.923 0.000 1.917 O
5.057 0.000 1.917 O
3.490 1.917 1.917 O
0.000 0.000 0.000 Zr
3.490 0.000 0.000 Zr


Record 11
ZrIr2O2 | OQMD via LeMat-Bulk | PBE | optimized geometry; raw total energy = -6.562 eV per atom
1.0
-2.904 1.360 2.451
2.935 -2.355 1.461
5.914 8.717 2.170
Ir O Zr
4 4 2
Cartesian
0.000 0.000 0.000 Ir
2.467 1.063 2.333 Ir
2.957 4.359 1.085 Ir
3.478 6.660 3.749 Ir
-0.608 0.638 2.250 O
1.649 3.964 3.078 O
4.296 3.759 3.005 O
6.552 7.084 3.832 O
1.479 2.179 0.543 Zr
4.436 6.538 1.628 Zr


Record 12
Zr2Ir2O5 | OQMD via LeMat-Bulk | PBE | optimized geometry; polymorph energy (0 for the lowest one) = 0.0 meV per atom
1.0
8.800 0.000 0.000
0.000 3.572 0.000
0.000 0.000 3.572
Ir O Zr
2 5 2
Cartesian
0.000 0.000 0.000 Ir
4.400 0.000 0.000 Ir
1.208 1.786 0.000 O
7.592 1.786 0.000 O
1.208 0.000 1.786 O
7.592 0.000 1.786 O
4.400 1.786 1.786 O
2.390 1.786 1.786 Zr
6.410 1.786 1.786 Zr


Record 13
Zr2IrO4 | OQMD via LeMat-Bulk | PBE | optimized geometry; raw total energy = -8.361 eV per atom
1.0
-0.185 6.371 -1.247
-3.095 -4.164 -3.907
-2.242 1.106 5.995
Ir O Zr
2 8 4
Cartesian
0.000 0.000 0.000 Ir
-2.247 2.973 -1.390 Ir
-1.660 3.408 0.749 O
-3.339 -1.709 -0.934 O
-3.419 1.042 -1.471 O
-1.862 0.193 1.268 O
-2.628 3.886 3.337 O
-4.166 -1.127 2.169 O
-2.830 0.671 3.855 O
-4.246 1.624 1.631 O
-2.671 -0.595 -2.649 Zr
-2.245 2.039 2.302 Zr
-3.792 -0.043 0.349 Zr
-2.337 5.225 1.678 Zr


Record 14
ZrIrO3 | OQMD via LeMat-Bulk | PBE | optimized geometry; raw total energy = -8.144 eV per atom
1.0
6.205 0.000 0.000
0.000 6.805 0.000
0.000 0.000 5.225
Ir O Zr
4 12 4
Cartesian
0.000 0.000 0.000 Ir
0.000 3.402 0.000 Ir
3.103 0.000 2.613 Ir
3.103 3.402 2.613 Ir
2.173 0.382 0.814 O
2.173 3.020 0.814 O
0.578 5.104 0.994 O
3.681 5.104 1.619 O
5.275 0.382 1.798 O
5.275 3.020 1.798 O
0.930 3.785 3.427 O
0.930 6.423 3.427 O
2.524 1.701 3.607 O
5.627 1.701 4.232 O
4.033 3.785 4.411 O
4.033 6.423 4.411 O
3.754 1.701 0.183 Zr
0.651 1.701 2.429 Zr
5.554 5.104 2.796 Zr
2.452 5.104 5.042 Zr


Record 15
IrOs | OQMD via LeMat-Bulk | PBE | optimized geometry; formation energy from the elements = 1.085 eV per atom
1.0
0.000 2.778 2.778
2.778 0.000 2.778
2.778 2.778 0.000
Ir Os
1 1
Cartesian
0.000 0.000 0.000 Ir
1.389 1.389 1.389 Os


Record 16
Ir2Os | OQMD via LeMat-Bulk | PBE | optimized geometry; formation energy from the elements = 3.265 eV per atom; polymorph energy (0 for the lowest one) = 2447.4 meV per atom
1.0
3.827 2.209 6.249
-3.827 2.209 6.249
0.000 -4.419 6.249
Ir Os
4 2
Cartesian
0.000 0.000 7.030 Ir
1.913 1.105 10.154 Ir
-1.913 1.105 10.154 Ir
0.000 -2.209 10.154 Ir
0.000 0.000 4.687 Os
0.000 0.000 9.373 Os


Record 17
Ir2Os | OQMD via LeMat-Bulk | PBE | optimized geometry; formation energy from the elements = 0.818 eV per atom; polymorph energy (0 for the lowest one) = 0.0 meV per atom
1.0
4.819 -1.139 1.132
2.049 1.659 4.341
1.023 -3.279 3.741
Ir Os
4 2
Cartesian
4.420 -0.085 3.888 Ir
3.907 -2.554 3.588 Ir
2.522 -1.155 5.193 Ir
4.932 -1.725 5.759 Ir
0.000 0.000 0.000 Os
1.973 -0.690 2.304 Os


Record 18
IrOs2 | OQMD via LeMat-Bulk | PBE | optimized geometry; formation energy from the elements = 3.802 eV per atom; polymorph energy (0 for the lowest one) = 2911.9 meV per atom
1.0
1.385 2.794 7.150
3.325 7.002 0.874
-4.186 5.992 2.724
Ir Os
2 4
Cartesian
0.131 3.947 2.687 Ir
0.262 7.895 5.374 Ir
0.889 7.318 7.606 Os
1.859 9.422 4.468 Os
0.197 5.921 4.031 Os
-1.896 8.917 5.393 Os


Record 19
IrOs | OQMD via LeMat-Bulk | PBE | optimized geometry; formation energy from the elements = 0.029 eV per atom
1.0
2.752 0.000 0.000
-1.376 2.383 0.000
0.000 0.000 4.385
Ir Os
1 1
Cartesian
1.376 0.794 3.289 Ir
0.000 1.589 1.096 Os


Record 20
Pr2P2IrOsS2 | OQMD via LeMat-Bulk | PBE | optimized geometry; raw total energy = -7.119 eV per atom
1.0
4.143 0.000 0.000
0.000 4.143 0.000
0.000 0.000 9.237
Ir Os P Pr S
1 1 2 2 2
Cartesian
0.000 0.000 0.000 Ir
2.072 2.072 0.000 Os
0.000 2.072 1.217 P
2.072 0.000 8.020 P
2.072 0.000 2.729 Pr
0.000 2.072 6.508 Pr
0.000 0.000 4.619 S
2.072 2.072 4.619 S


Record 21
RbP2IrOs | OQMD via LeMat-Bulk | PBE | optimized geometry; raw total energy = -6.922 eV per atom
1.0
-1.088 -4.822 5.507
-5.895 -2.402 3.774
3.128 1.538 -6.528
Ir Os P Rb
1 1 2 1
Cartesian
0.000 0.000 0.000 Ir
-3.491 -3.612 4.641 Os
-2.015 -1.084 -0.538 P
-4.244 -3.391 2.425 P
-0.726 -3.448 1.810 Rb


Record 22
Tb2P2IrOsSe2 | OQMD via LeMat-Bulk | PBE | optimized geometry; raw total energy = -6.867 eV per atom
1.0
4.052 0.000 0.000
0.000 4.052 0.000
0.000 0.000 9.276
Ir Os P Se Tb
1 1 2 2 2
Cartesian
0.000 0.000 0.000 Ir
2.026 2.026 0.000 Os
0.000 2.026 1.299 P
2.026 0.000 7.977 P
0.000 0.000 4.638 Se
2.026 2.026 4.638 Se
2.026 0.000 2.447 Tb
0.000 2.026 6.829 Tb


Record 23
PaIrOs | OQMD via LeMat-Bulk | PBE | optimized geometry; formation energy from the elements = 0.069 eV per atom; polymorph energy (0 for the lowest one) = 0.0 meV per atom
1.0
0.000 3.162 3.162
3.162 0.000 3.162
3.162 3.162 0.000
Ir Os Pa
1 1 1
Cartesian
1.581 1.581 1.581 Ir
0.000 0.000 0.000 Os
4.744 4.744 4.744 Pa


Record 24
PaIrOs | OQMD via LeMat-Bulk | PBE | optimized geometry; formation energy from the elements = 0.205 eV per atom; polymorph energy (0 for the lowest one) = 135.4 meV per atom
1.0
0.000 3.193 3.193
3.193 0.000 3.193
3.193 3.193 0.000
Ir Os Pa
1 1 1
Cartesian
1.597 1.597 1.597 Ir
4.790 4.790 4.790 Os
0.000 0.000 0.000 Pa


Record 25
IrOsPb2 | OQMD via LeMat-Bulk | PBE | optimized geometry; raw total energy = -5.845 eV per atom
1.0
0.000 3.415 3.415
3.415 0.000 3.415
3.415 3.415 0.000
Ir Os Pb
1 1 2
Cartesian
5.123 5.123 5.123 Ir
3.415 3.415 3.415 Os
0.000 0.000 0.000 Pb
1.708 1.708 1.708 Pb